[1]
Entry from the Alexandria database: a relaxed structure of La4PrCd3 (GGA-PBE).

- DOS(E_F): 11.324 states/eV/cell
- V: 31.8 Å³/atom
- Total magnetic moment: 0.01 μB per formula unit

a b c (Å): 5.6050 5.6050 9.8854
angles (deg): 73.53 73.53 60.00
Closest atoms and distances in Å follow each position.
Atoms (fractional coordinates):
Pr1 0.0000 0.0000 0.0000  8 La 3.51-3.62, 6 Cd 3.89
Cd1 0.2562 0.2562 0.2313  8 La 3.34-3.56
Cd2 0.7438 0.7438 0.7687  8 La 3.34-3.56
Cd3 0.5000 0.5000 0.5000  8 La 3.32-3.40
La1 0.8707 0.8707 0.3879  7 Cd 3.40-3.56, 1 Pr 3.62
La2 0.3815 0.3815 0.8554  5 Cd 3.32-3.51, 3 Pr 3.51
La3 0.1293 0.1293 0.6121  7 Cd 3.40-3.56, 1 Pr 3.62
La4 0.6185 0.6185 0.1446  5 Cd 3.32-3.51, 3 Pr 3.51

=====

[2]
Entry from the Alexandria database: a relaxed structure of HgMoW2 (GGA-PBE).

- DOS(E_F): 5.225 states/eV/cell
- V: 17.1 Å³/atom
- Total magnetic moment: 0.00 μB per formula unit

a b c (Å): 4.5879 4.5879 4.5879
angles (deg): 60.00 60.00 60.00
Closest atoms and distances in Å follow each position.
Atoms (fractional coordinates):
Hg1 0.5000 0.5000 0.5000  4 Mo 2.81, 4 W 2.81
Mo1 0.7500 0.7500 0.7500  4 W 2.81, 4 Hg 2.81
W1 0.0000 0.0000 0.0000  4 W 2.81, 4 Mo 2.81
W2 0.2500 0.2500 0.2500  4 Hg 2.81, 4 W 2.81

=====

ΔH_f (0 K) / eV per atom: -0.190; 0.706